(1)
The following is a PBE-GGA calculation of a relaxed structure of LaSiPtN2, from Alexandria via LeMat-Bulk.

a = 4.078 Å, b = 5.862 Å, c = 4.078 Å
α = 90.00°, β = 90.00°, γ = 90.00°
Site moments in Bohr magnetons follow the coordinates.
Fractional coordinates of all 5 atoms:
Si  0.500  0.500  0.500  -0.16
N  0.000  0.000  0.500  0.61
N  0.500  0.000  0.000  0.77
Pt  0.000  0.000  0.000  0.29
La  0.000  0.500  0.000  -0.13

Results
For the size of the total moment, the calculation gives 1.487 μB/cell. Its density of states at the Fermi level is 3.1 states/eV per cell. The calculation puts the energy relative to the elements, uncorrected at 1093 meV/atom. For the final energy, the calculation gives -5.515 eV/atom.



(2)
The following is a PBE-GGA calculation of a relaxed structure of Cd2GaNiN, from Alexandria via LeMat-Bulk.

a = 4.988 Å, b = 4.507 Å, c = 4.988 Å
α = 90.00°, β = 90.00°, γ = 90.00°
Site moments in Bohr magnetons follow the coordinates.
Fractional coordinates of all 5 atoms:
Ni  0.000  0.000  0.000  0.06
N  0.500  0.500  0.500  1.55
Ga  0.000  0.500  0.000  -0.02
Cd  0.000  0.000  0.500  0.00
Cd  0.500  0.000  0.000  0.04

Results
For the size of the total moment, the calculation gives 2.277 μB/cell. Its density of states at the Fermi level is 2.4 states/eV per cell. The calculation puts the energy relative to the elements, uncorrected at 993 meV/atom. For the final energy, the calculation gives -2.800 eV/atom.



(3)
The following is a PBE-GGA calculation of a relaxed structure of Tb2PmNd2Er, from Alexandria via LeMat-Bulk.

a = 5.703 Å, b = 7.022 Å, c = 9.900 Å
α = 90.00°, β = 90.00°, γ = 90.00°
Fractional coordinates of all 12 atoms:
Tb  0.000  0.257  0.835
Tb  0.500  0.258  0.332
Tb  0.000  0.757  0.165
Tb  0.500  0.758  0.668
Pm  0.000  0.008  0.500
Pm  0.000  0.508  0.500
Nd  0.500  0.007  0.000
Nd  0.000  0.257  0.171
Nd  0.500  0.507  0.000
Nd  0.000  0.757  0.829
Er  0.500  0.258  0.664
Er  0.500  0.758  0.336

Results
Its formation energy is 0.064 eV per atom. For the size of the total moment, the calculation gives 0.000 μB/cell. Its density of states at the Fermi level is 17.5 states/eV per cell. For the final energy, the calculation gives -4.621 eV/atom.